The following is a PBE+U calculation of a relaxed structure of MgCo4O8, from Alexandria.

Lattice parameters (Å, degrees): 13.1405 2.8634 8.9908 90.00 130.55 90.00
Space group Cm (No. 8)
Asymmetric unit:
Mg (0.0000, 0.0000, 0.0000) [2 per cell]
Co (0.9997, 0.0000, 0.3114) [2 per cell]
Co (0.0153, 0.5000, 0.6519) [2 per cell]
Co (0.2033, 0.0000, 0.0148) [2 per cell]
Co (0.2191, 0.5000, 0.3804) [2 per cell]
O (0.0219, 0.5000, 0.1824) [2 per cell]
O (0.0602, 0.5000, 0.9051) [2 per cell]
O (0.1396, 0.0000, 0.7582) [2 per cell]
O (0.1932, 0.0000, 0.4905) [2 per cell]
O (0.2138, 0.0000, 0.2375) [2 per cell]
O (0.3180, 0.5000, 0.0822) [2 per cell]
O (0.3974, 0.5000, 0.5770) [2 per cell]
O (0.4879, 0.0000, 0.4295) [2 per cell]

uncorrected energy	-5.7694	eV/atom
crystal system	monoclinic